## GaNi2H (GGA-PBEsol)

Data for a relaxed GaNi2H crystal. Values from VASP.

Quantum ESPRESSO input file:
```
&SYSTEM
  ibrav = 0, nat = 4, ntyp = 3
/
ATOMIC_SPECIES
Ni 58.69 Ni.upf
H 1.01 H.upf
Ga 69.72 Ga.upf
CELL_PARAMETERS angstrom
-0.2074 -3.7278 -0.8597
3.1689 -2.1529 0.0340
0.5006 -2.6289 2.7417
ATOMIC_POSITIONS crystal
Ni 0.2500 0.2500 0.2500
Ni 0.7500 0.7500 0.7500
H 0.0000 0.0000 0.0000
Ga 0.5000 0.5000 0.5000
```

## Properties
- space-group type = Fm-3m
- magnetic moment (μB per formula unit) = 0.00
- crystal system = cubic
- VASP energy (eV per cell) = -18.16



## BaTm2Mo4O16 (GGA-PBEsol)

Data for a relaxed BaTm2Mo4O16 crystal. Values from VASP.

Quantum ESPRESSO input file:
```
&SYSTEM
  ibrav = 0, nat = 46, ntyp = 4
/
ATOMIC_SPECIES
Tm 168.93 Tm.upf
O 16.00 O.upf
Mo 95.94 Mo.upf
Ba 137.33 Ba.upf
CELL_PARAMETERS angstrom
5.1282 0.0000 0.0003
2.5641 6.1520 0.0002
0.7868 0.0000 19.4238
ATOMIC_POSITIONS crystal
Tm 0.3555 0.2955 0.5308
Tm 0.6445 0.7045 0.4692
Tm 0.3490 0.2955 0.9692
Tm 0.6510 0.7045 0.0308
O 0.9935 0.3435 0.4576
O 0.9535 0.8352 0.8325
O 0.7887 0.1648 0.3325
O 0.2113 0.8352 0.6675
O 0.0465 0.1648 0.1675
O 0.5577 0.5266 0.5652
O 0.3370 0.6565 0.9576
O 0.7226 0.1055 0.6009
O 0.5793 0.3022 0.8694
O 0.4020 0.6010 0.2904
O 0.7720 0.7364 0.6686
O 0.2782 0.9658 0.5342
O 0.1719 0.1055 0.8991
O 0.2440 0.0342 0.0342
O 0.5085 0.2636 0.1686
O 0.4207 0.6978 0.1306
O 0.9157 0.5266 0.9348
O 0.0065 0.6565 0.5424
O 0.7560 0.9658 0.9658
O 0.4423 0.4734 0.4348
O 0.9970 0.6010 0.2096
O 0.4915 0.7364 0.8314
O 0.0030 0.3990 0.7904
O 0.7218 0.0342 0.4658
O 0.6630 0.3435 0.0424
O 0.5980 0.3990 0.7096
O 0.8816 0.6978 0.3694
O 0.1184 0.3022 0.6306
O 0.8281 0.8945 0.1009
O 0.0843 0.4734 0.0652
O 0.2774 0.8945 0.3991
O 0.2280 0.2636 0.3314
Mo 0.2402 0.5108 0.3559
Mo 0.2490 0.5108 0.1441
Mo 0.9267 0.1197 0.0904
Mo 0.9535 0.1197 0.4096
Mo 0.0465 0.8803 0.5904
Mo 0.0733 0.8803 0.9096
Mo 0.7510 0.4892 0.8559
Mo 0.7598 0.4892 0.6441
Ba 0.5340 0.9321 0.2500
Ba 0.4660 0.0679 0.7500
```

## Properties
- formation energy from raw total energies (eV per formula unit) = -58.871
- space-group type = C2/c
- magnetic moment (μB per formula unit) = 0.00
- crystal system = monoclinic



## LiSc2P (GGA-PBEsol)

Data for a relaxed LiSc2P crystal. Values from VASP.

Quantum ESPRESSO input file:
```
&SYSTEM
  ibrav = 0, nat = 4, ntyp = 3
/
ATOMIC_SPECIES
P 30.97 P.upf
Sc 44.96 Sc.upf
Li 6.94 Li.upf
CELL_PARAMETERS angstrom
4.5666 0.0000 0.0000
2.2833 3.9548 0.0000
2.2833 1.3183 3.7286
ATOMIC_POSITIONS crystal
P 0.2500 0.2500 0.2500
Sc 0.7500 0.7500 0.7500
Sc 0.0000 0.0000 0.0000
Li 0.5000 0.5000 0.5000
```

## Properties
- energy of formation (eV per atom) = -0.09
- space-group type = F-43m
- magnetic moment (μB per formula unit) = 1.93
- crystal system = cubic



## MnCo4O8 (GGA-PBEsol)

Data for a relaxed MnCo4O8 crystal. Values from VASP.

Quantum ESPRESSO input file:
```
&SYSTEM
  ibrav = 0, nat = 13, ntyp = 3
/
ATOMIC_SPECIES
Co 58.93 Co.upf
O 16.00 O.upf
Mn 54.94 Mn.upf
CELL_PARAMETERS angstrom
5.6057 0.0000 0.0000
2.8029 4.8341 -0.0116
2.8029 1.4516 4.6335
ATOMIC_POSITIONS crystal
Co 0.5000 0.5000 0.5000
Co 0.5000 0.5000 0.0000
Co 0.0000 0.5000 0.0000
Co 0.0000 0.0000 0.0000
O 0.7349 0.2371 0.7843
O 0.2651 0.7629 0.2157
O 0.2600 0.2750 0.2049
O 0.2446 0.7205 0.7903
O 0.7554 0.2795 0.2097
O 0.2437 0.2371 0.7843
O 0.7400 0.7250 0.7951
O 0.7563 0.7629 0.2157
Mn 0.5000 0.0000 0.0000
```

## Properties
- formation energy from raw total energies (eV per formula unit) = -13.649
- space-group type = C2/m
- magnetic moment (μB per formula unit) = 7.07
- crystal system = monoclinic



## CdBiSe2I (GGA-PBEsol)

Data for a relaxed CdBiSe2I crystal. Values from VASP.

Quantum ESPRESSO input file:
```
&SYSTEM
  ibrav = 0, nat = 10, ntyp = 4
/
ATOMIC_SPECIES
Se 78.96 Se.upf
I 126.90 I.upf
Cd 112.41 Cd.upf
Bi 208.98 Bi.upf
CELL_PARAMETERS angstrom
-3.8170 1.5029 0.8109
-0.1361 -2.5985 -6.6062
-2.6846 -8.8545 3.7736
ATOMIC_POSITIONS crystal
Se 0.0809 0.1618 0.2573
Se 0.6430 0.2860 0.5597
Se 0.9191 0.8382 0.7427
Se 0.3570 0.7140 0.4403
I 0.3584 0.7169 0.0748
I 0.6416 0.2831 0.9252
Cd 0.0000 0.0000 0.0000
Cd 0.0000 0.0000 0.5000
Bi 0.7197 0.4393 0.3089
Bi 0.2803 0.5607 0.6911
```

## Properties
- formation energy from raw total energies (eV per formula unit) = -2.292
- space-group type = C2/m
- magnetic moment (μB per formula unit) = 0.00
- crystal system = monoclinic



## ZnClF3 (GGA-PBEsol)

Data for a relaxed ZnClF3 crystal. Values from VASP.

Quantum ESPRESSO input file:
```
&SYSTEM
  ibrav = 0, nat = 5, ntyp = 3
/
ATOMIC_SPECIES
Zn 65.41 Zn.upf
F 19.00 F.upf
Cl 35.45 Cl.upf
CELL_PARAMETERS angstrom
4.0001 0.0000 0.0000
0.0000 4.0001 0.0000
0.0000 0.0000 4.0001
ATOMIC_POSITIONS crystal
Zn 0.0000 0.0000 0.0000
F 0.5000 0.0000 0.0000
F 0.0000 0.5000 0.0000
F 0.0000 0.0000 0.5000
Cl 0.5000 0.5000 0.5000
```

## Properties
- excess energy over the best structure of this formula in the dataset (meV/atom) = 0
- formation energy from raw total energies (eV per formula unit) = -5.678
- space-group type = Pm-3m
- magnetic moment (μB per formula unit) = 2.00
- crystal system = cubic



## Mg5Ga (GGA-PBEsol)

Data for a relaxed Mg5Ga crystal. Values from VASP.

Quantum ESPRESSO input file:
```
&SYSTEM
  ibrav = 0, nat = 6, ntyp = 2
/
ATOMIC_SPECIES
Mg 24.30 Mg.upf
Ga 69.72 Ga.upf
CELL_PARAMETERS angstrom
-2.6083 -1.6316 -0.5235
3.8432 -3.9361 2.4216
-3.1836 3.2727 5.6623
ATOMIC_POSITIONS crystal
Mg 0.3340 0.6680 0.6671
Mg 0.7214 0.4429 0.9480
Mg 0.6759 0.3517 0.3327
Mg 0.9967 0.9934 0.0136
Mg 0.0499 0.0998 0.5942
Ga 0.3888 0.7775 0.2777
```

## Properties
- excess energy over the best structure of this formula in the dataset (meV/atom) = 4
- energy of formation (eV per atom) = -0.04
- space-group type = Cm
- magnetic moment (μB per formula unit) = 0.00
- crystal system = monoclinic



## BaLi2Ag (GGA-PBEsol)

Data for a relaxed BaLi2Ag crystal. Values from VASP.

Quantum ESPRESSO input file:
```
&SYSTEM
  ibrav = 0, nat = 4, ntyp = 3
/
ATOMIC_SPECIES
Li 6.94 Li.upf
Ag 107.87 Ag.upf
Ba 137.33 Ba.upf
CELL_PARAMETERS angstrom
-0.0756 -3.0588 -2.1494
4.5923 1.6557 -2.5177
0.6188 -1.8692 5.8909
ATOMIC_POSITIONS crystal
Li 0.1992 0.1992 0.3984
Li 0.8008 0.8008 0.6016
Ag 0.5000 0.0000 0.0000
Ba 0.0000 0.5000 0.0000
```

## Properties
- excess energy over the best structure of this formula in the dataset (meV/atom) = 68
- energy of formation (eV per atom) = -0.03
- space-group type = Immm
- magnetic moment (μB per formula unit) = 0.00
- crystal system = orthorhombic



Q: magnetic moment of number 8 (BaLi2Ag)?
A: 0.00 μB per formula unit



Q: What is the formula in the second record?
A: BaTm2Mo4O16



Q: What is the formula in the sixth record?
A: ZnClF3